# ErHfCr2O6

An optimized crystal structure of ErHfCr2O6 (GGA+U, Alexandria via LeMat-Bulk).

Calculated density, g/cm3: 7.40
VASP energy, eV per atom: -8.670
Spin magnetization, μB per cell: 7.00

Cell lengths 5.314, 5.433, 5.862 Å; angles 60.36, 62.57, 60.33 degrees
Sites, in units of the cell vectors:
O 0.724 0.141 0.753
O 0.374 0.736 0.775
O 0.222 0.922 0.236
O 0.926 0.613 0.234
O 0.626 0.202 0.227
O 0.139 0.385 0.752
Er 0.801 0.814 0.586
Cr 0.013 0.010 0.964
Cr 0.525 0.519 0.436
Hf 0.312 0.321 0.052